DFT (SCAN) results for Cd5Pt at its PBEsol-relaxed geometry.

a b c (Å): 4.6947 3.1052 15.5975
angles (deg): 90.00 90.00 90.00
With the nearest neighbours (Å) after each atom.
Space group Amm2 (No. 38)
Unique sites:
Cd 0.0000 0.0000 0.0000  2 Pt 2.89, 8 Cd 2.91-3.11
Cd 0.0000 0.0000 0.3140  8 Cd 2.89-3.11, 2 Pt 2.91
Cd 0.5000 0.0000 0.2055  8 Cd 2.89-3.13, 4 Pt 2.92
Cd 0.5000 0.0000 0.5475  2 Pt 2.90, 10 Cd 2.91-3.11
Cd 0.5000 0.0000 0.8794  12 Cd 2.99-3.13
Pt 0.0000 0.0000 0.6564  10 Cd 2.89-2.92, 2 Pt 3.11

## Properties
D(E_F) (states/eV/atom): 0.34
DFT formation energy (eV/atom): -0.115
V (Å³ per cell): 227.4